1.
InAs2Se | GGA-PBE | relaxed

Cell lengths 4.062, 4.062, 19.157 Å; angles 90.00, 90.00, 120.00 degrees
Element x y z (fractional)
In (0.000, 0.000, 0.000)
In (0.333, 0.667, 0.667)
In (0.667, 0.333, 0.333)
As (0.000, 0.000, 0.246)
As (0.000, 0.000, 0.754)
As (0.333, 0.667, 0.421)
As (0.333, 0.667, 0.913)
As (0.667, 0.333, 0.087)
As (0.667, 0.333, 0.579)
Se (0.000, 0.000, 0.500)
Se (0.333, 0.667, 0.167)
Se (0.667, 0.333, 0.833)

Summary:
Energy relative to the lowest polymorph listed for this composition ... 250 meV/atom
Total magnetic moment ... 0.0 Bohr magnetons per cell
Uncorrected formation energy ... 112 meV/atom
DFT total energy ... -3.77 eV per atom
Crystal system ... trigonal

=====

2.
InAs2Se | GGA-PBE | relaxed

Cell lengths 5.718, 5.718, 14.261 Å; angles 90.00, 90.00, 90.00 degrees
Element x y z (fractional)
In (0.000, 0.000, 0.000)
In (0.000, 0.500, 0.250)
In (0.500, 0.000, 0.750)
In (0.500, 0.500, 0.500)
As (0.227, 0.250, 0.625)
As (0.250, 0.727, 0.875)
As (0.250, 0.773, 0.375)
As (0.273, 0.250, 0.125)
As (0.727, 0.750, 0.125)
As (0.750, 0.227, 0.375)
As (0.750, 0.273, 0.875)
As (0.773, 0.750, 0.625)
Se (0.000, 0.000, 0.500)
Se (0.000, 0.500, 0.750)
Se (0.500, 0.000, 0.250)
Se (0.500, 0.500, 0.000)

Summary:
Energy relative to the lowest polymorph listed for this composition ... 301 meV/atom
Total magnetic moment ... 0.0 Bohr magnetons per cell
Uncorrected formation energy ... 164 meV/atom
DFT total energy ... -3.72 eV per atom
Crystal system ... tetragonal

=====

3.
InAs2Se | GGA-PBE | relaxed

Cell lengths 6.992, 6.992, 6.992 Å; angles 90.00, 90.00, 90.00 degrees
Element x y z (fractional)
In (0.000, 0.000, 0.000)
In (0.000, 0.500, 0.500)
In (0.500, 0.000, 0.500)
In (0.500, 0.500, 0.000)
As (0.250, 0.250, 0.250)
As (0.250, 0.250, 0.750)
As (0.250, 0.750, 0.250)
As (0.250, 0.750, 0.750)
As (0.750, 0.250, 0.250)
As (0.750, 0.250, 0.750)
As (0.750, 0.750, 0.250)
As (0.750, 0.750, 0.750)
Se (0.000, 0.000, 0.500)
Se (0.000, 0.500, 0.000)
Se (0.500, 0.000, 0.000)
Se (0.500, 0.500, 0.500)

Summary:
Energy relative to the lowest polymorph listed for this composition ... 509 meV/atom
Total magnetic moment ... 0.0 Bohr magnetons per cell
Uncorrected formation energy ... 372 meV/atom
DFT total energy ... -3.51 eV per atom
Crystal system ... cubic

=====

4.
InAs2Se | GGA-PBE | relaxed

Cell lengths 4.032, 5.626, 4.014 Å; angles 90.00, 90.00, 90.00 degrees
Element x y z (fractional)
In (0.000, 0.000, 0.000)
As (0.500, 0.000, 0.500)
As (0.500, 0.500, 0.499)
Se (0.000, 0.500, 0.998)

Summary:
Energy relative to the lowest polymorph listed for this composition ... 88 meV/atom
Total magnetic moment ... 0.0 Bohr magnetons per cell
Uncorrected formation energy ... -49 meV/atom
DFT total energy ... -3.93 eV per atom
Crystal system ... orthorhombic

=====

5.
In3AsSe | GGA-PBE | relaxed

Cell lengths 5.435, 5.435, 5.435 Å; angles 90.00, 90.00, 90.00 degrees
Element x y z (fractional)
In (0.000, 0.000, 0.500)
In (0.000, 0.500, 0.000)
In (0.500, 0.000, 0.000)
As (0.000, 0.000, 0.000)
Se (0.500, 0.500, 0.500)

Summary:
Energy relative to the lowest polymorph listed for this composition ... 0 meV/atom
Total magnetic moment ... 0.0 Bohr magnetons per cell
Uncorrected formation energy ... 186 meV/atom
DFT total energy ... -3.08 eV per atom
Crystal system ... cubic

=====

6.
InAs2Se | GGA-PBE | relaxed

Cell lengths 6.986, 6.986, 6.986 Å; angles 90.00, 90.00, 90.00 degrees
Element x y z (fractional)
In (0.000, 0.000, 0.000)
In (0.000, 0.500, 0.500)
In (0.500, 0.000, 0.500)
In (0.500, 0.500, 0.000)
As (0.000, 0.000, 0.500)
As (0.000, 0.500, 0.000)
As (0.250, 0.250, 0.250)
As (0.250, 0.750, 0.750)
As (0.500, 0.000, 0.000)
As (0.500, 0.500, 0.500)
As (0.750, 0.250, 0.750)
As (0.750, 0.750, 0.250)
Se (0.250, 0.250, 0.750)
Se (0.250, 0.750, 0.250)
Se (0.750, 0.250, 0.250)
Se (0.750, 0.750, 0.750)

Summary:
Energy relative to the lowest polymorph listed for this composition ... 422 meV/atom
Total magnetic moment ... 0.0 Bohr magnetons per cell
Uncorrected formation energy ... 285 meV/atom
DFT total energy ... -3.60 eV per atom
Crystal system ... cubic

=====

7.
InAs2Se | GGA-PBE | relaxed

Cell lengths 3.577, 5.275, 10.573 Å; angles 90.00, 90.00, 90.00 degrees
Element x y z (fractional)
In (0.000, 0.000, 0.000)
In (0.500, 0.500, 0.000)
As (0.000, 0.000, 0.480)
As (0.000, 0.500, 0.314)
As (0.500, 0.000, 0.314)
As (0.500, 0.500, 0.480)
Se (0.000, 0.500, 0.784)
Se (0.500, 0.000, 0.784)

Summary:
Energy relative to the lowest polymorph listed for this composition ... 384 meV/atom
Total magnetic moment ... 0.0 Bohr magnetons per cell
Uncorrected formation energy ... 246 meV/atom
DFT total energy ... -3.63 eV per atom
Crystal system ... orthorhombic

=====

8.
InAs2Se | GGA-PBE | relaxed

Cell lengths 3.535, 4.130, 6.405 Å; angles 90.00, 90.00, 90.00 degrees
Element x y z (fractional)
In (0.000, 0.000, 0.000)
As (0.500, 0.500, 0.309)
As (0.500, 0.500, 0.691)
Se (0.000, 0.000, 0.500)

Summary:
Energy relative to the lowest polymorph listed for this composition ... 440 meV/atom
Total magnetic moment ... 0.0 Bohr magnetons per cell
Uncorrected formation energy ... 303 meV/atom
DFT total energy ... -3.58 eV per atom
Crystal system ... orthorhombic

=====

What did the third record say?
InAs2Se | GGA-PBE | relaxed

Cell lengths 6.992, 6.992, 6.992 Å; angles 90.00, 90.00, 90.00 degrees
Element x y z (fractional)
In (0.000, 0.000, 0.000)
In (0.000, 0.500, 0.500)
In (0.500, 0.000, 0.500)
In (0.500, 0.500, 0.000)
As (0.250, 0.250, 0.250)
As (0.250, 0.250, 0.750)
As (0.250, 0.750, 0.250)
As (0.250, 0.750, 0.750)
As (0.750, 0.250, 0.250)
As (0.750, 0.250, 0.750)
As (0.750, 0.750, 0.250)
As (0.750, 0.750, 0.750)
Se (0.000, 0.000, 0.500)
Se (0.000, 0.500, 0.000)
Se (0.500, 0.000, 0.000)
Se (0.500, 0.500, 0.500)

Summary:
Energy relative to the lowest polymorph listed for this composition ... 509 meV/atom
Total magnetic moment ... 0.0 Bohr magnetons per cell
Uncorrected formation energy ... 372 meV/atom
DFT total energy ... -3.51 eV per atom
Crystal system ... cubic